Crystalline AcLaPr2Nd6 at its relaxed geometry. Source: the Alexandria database, functional PBE-GGA.

The formation enthalpy at 0 K is 0.113 eV/atom. As for the calculated density: 6.8 g cm⁻³. The density of states at the Fermi level comes out at 1.555 states/eV per atom.

It has space group C2/c (No. 15), with a = 9.3997 Å, b = 15.9096 Å, c = 9.9984 Å, α = 90.00°, β = 96.42° and γ = 90.00°. The inequivalent atoms are Ac at (0.0000, 0.0253, 0.2500), La at (0.0000, 0.4074, 0.7500), Pr at (0.2474, 0.0583, 0.5439), Nd at (0.0657, 0.1889, 0.9447), Nd at (0.1026, 0.3960, 0.1178) and Nd at (0.2054, 0.2314, 0.3173).